# 1
# CsRbZnH2 PBE-GGA optimized geometry
data_CsRbZnH2
_chemical_formula_sum 'Cs1 Rb1 Zn1 H2'
_cell_length_a 4.922
_cell_length_b 5.745
_cell_length_c 6.172
_cell_angle_alpha 63.25
_cell_angle_beta 81.32
_cell_angle_gamma 82.16
_symmetry_space_group_name_H-M 'P 1'
_symmetry_Int_Tables_number 1
_symmetry_space_group_name_Hall 'P 1'
loop_
_atom_site_label
_atom_site_type_symbol
_atom_site_fract_x
_atom_site_fract_y
_atom_site_fract_z
_atom_site_occupancy
Cs1 Cs 0.000 0.000 0.000 1
Rb1 Rb 0.435 0.363 0.348 1
Zn1 Zn 0.638 0.665 0.650 1
H1 H 0.501 0.863 0.356 1
H2 H 0.872 0.477 0.514 1
# total moment	0.00	μB/atom
# calculated total energy	-1.9473	eV per atom

# 2
# CsRbZnH2 PBE-GGA optimized geometry
data_CsRbZnH2
_chemical_formula_sum 'Cs1 Rb1 Zn1 H2'
_cell_length_a 5.288
_cell_length_b 5.944
_cell_length_c 5.959
_cell_angle_alpha 115.57
_cell_angle_beta 90.65
_cell_angle_gamma 90.21
_symmetry_space_group_name_H-M 'P 1'
_symmetry_Int_Tables_number 1
_symmetry_space_group_name_Hall 'P 1'
loop_
_atom_site_label
_atom_site_type_symbol
_atom_site_fract_x
_atom_site_fract_y
_atom_site_fract_z
_atom_site_occupancy
Cs1 Cs 0.000 0.000 0.000 1
Rb1 Rb 0.507 0.297 0.636 1
Zn1 Zn 0.481 0.625 0.275 1
H1 H 0.011 0.423 0.790 1
H2 H 0.498 0.285 0.136 1
# total moment	0.00	μB/atom
# calculated total energy	-1.9020	eV per atom